Material: AcTm2InAu4
Method: DFT, PBE
State: relaxed

Calculated values
calculated density	12.3	g/cm³
uncorrected energy	-34.8	eV per formula unit
total magnetic moment	0.000	μB/atom
space-group type	R-3m
D(E_F)	5.202	states/eV per cell

Lattice parameters (Å, degrees): 4.918 4.918 9.849 75.54 75.54 60.00
Atoms (fractional coordinates):
Ac: 0.000 0.000 0.000
Tm: 0.769 0.769 0.693
Tm: 0.231 0.231 0.307
In: 0.500 0.500 0.500
Au: 0.396 0.396 0.813
Au: 0.880 0.880 0.360
Au: 0.120 0.120 0.640
Au: 0.604 0.604 0.187



Material: AcYInAu
Method: DFT, PBE
State: relaxed

Calculated values
calculated density	8.9	g/cm³
uncorrected energy	-18.7	eV per formula unit
total magnetic moment	0.000	μB/atom
space-group type	F-43m
D(E_F)	3.474	states/eV per cell

Lattice parameters (Å, degrees): 5.484 5.484 5.484 60.00 60.00 60.00
Atoms (fractional coordinates):
Y: 0.750 0.750 0.750
Ac: 0.250 0.250 0.250
Au: 0.500 0.500 0.500
In: 0.000 0.000 0.000



Material: Ac2YInAu6
Method: DFT, PBE
State: relaxed

Calculated values
calculated density	9.4	g/cm³
uncorrected energy	-41.5	eV per formula unit
total magnetic moment	0.000	μB/atom
space-group type	P-1
D(E_F)	5.044	states/eV per cell

Lattice parameters (Å, degrees): 6.711 9.223 6.719 67.34 60.63 89.62
Atoms (fractional coordinates):
Ac: 0.208 0.628 0.579
Ac: 0.792 0.372 0.421
Y: 0.500 0.500 0.000
In: 0.000 0.000 0.000
Au: 0.193 0.715 0.044
Au: 0.765 0.720 0.030
Au: 0.246 0.288 0.527
Au: 0.807 0.285 0.956
Au: 0.235 0.280 0.970
Au: 0.754 0.712 0.473



Material: AcZn2In2Au
Method: DFT, PBE
State: relaxed

Calculated values
calculated density	8.0	g/cm³
uncorrected energy	-15.8	eV per formula unit
total magnetic moment	0.000	μB/atom
space-group type	I4/mmm
D(E_F)	3.370	states/eV per cell

Lattice parameters (Å, degrees): 5.272 5.272 6.923 112.38 112.38 90.00
Atoms (fractional coordinates):
Ac: 0.500 0.500 0.000
Zn: 0.788 0.788 0.576
Zn: 0.212 0.212 0.424
In: 0.250 0.750 0.500
In: 0.750 0.250 0.500
Au: 0.000 0.000 0.000



Q: Which of these has the highest D(E_F)?
A: AcTm2InAu4



Q: Which value of total magnetic moment does entry 1 give?
A: 0.000 μB/atom



Q: D(E_F) of number 3 (Ac2YInAu6)?
A: 5.044 states/eV per cell



Q: calculated density of number 4 (AcZn2In2Au)?
A: 8.0 g/cm³